No. 1
## Li2OsPb (PBE-GGA)

Data for Li2OsPb after structural relaxation.

Lattice parameters (Å, degrees): 2.992 2.992 9.347 90.00 90.00 114.79
Sites, in units of the cell vectors:
1 Li 0.000 0.000 0.003
2 Li 0.500 0.500 0.272
3 Os 0.000 0.000 0.490
4 Pb 0.500 0.500 0.736

magnetization = 0.000 μB per atom
SG = Cmm2
raw total energy = -16.64 eV per cell

No. 2
## LiHPt2 (PBE-GGA)

Data for LiHPt2 after structural relaxation.

Lattice parameters (Å, degrees): 6.321 6.321 5.077 51.50 51.50 90.00
Sites, in units of the cell vectors:
1 H 0.500 0.500 0.000
2 H 0.250 0.750 0.500
3 Pt 0.514 0.125 0.250
4 Pt 0.236 0.625 0.250
5 Pt 0.375 0.486 0.750
6 Pt 0.875 0.764 0.750
7 Li 0.000 0.000 0.000
8 Li 0.750 0.250 0.500

magnetization = 0.000 μB per atom
SG = I-42d
ΔE to the lowest computed polymorph = 0 meV per atom

No. 3
## Al4Cr (PBE-GGA)

Data for Al4Cr after structural relaxation.

Lattice parameters (Å, degrees): 4.901 4.901 4.901 97.20 97.20 138.55
Each line ends with the local moment (μB).
Sites, in units of the cell vectors:
1 Al 0.790 0.398 0.188  -0.01
2 Al 0.398 0.210 0.608  -0.01
3 Al 0.210 0.602 0.812  -0.01
4 Al 0.602 0.790 0.392  -0.01
5 Cr 0.000 0.000 0.000  0.46

magnetization = 0.090 μB per atom
SG = I4/m
ΔE to the lowest computed polymorph = 0 meV per atom

No. 4
## ZnCu2Mo (PBE-GGA)

Data for ZnCu2Mo after structural relaxation.

Lattice parameters (Å, degrees): 5.290 5.290 5.290 151.60 128.46 59.89
Sites, in units of the cell vectors:
1 Cu 0.998 0.998 0.000
2 Cu 0.763 0.263 0.500
3 Mo 0.503 0.503 0.000
4 Zn 0.236 0.736 0.500

magnetization = 0.000 μB per atom
SG = Imm2
raw total energy = -19.43 eV per cell

No. 5
## Sc3OsRh (PBE-GGA)

Data for Sc3OsRh after structural relaxation.

Lattice parameters (Å, degrees): 4.915 4.915 4.915 90.00 90.00 90.00
Sites, in units of the cell vectors:
1 Sc 0.000 0.500 0.000
2 Sc 0.000 0.000 0.500
3 Sc 0.500 0.000 0.000
4 Rh 0.500 0.500 0.500
5 Os 0.000 0.000 0.000

magnetization = 0.000 μB per atom
SG = Pm-3m
ΔE to the lowest computed polymorph = 0 meV per atom

No. 6
## CsGa2CuCl8 (PBE-GGA)

Data for CsGa2CuCl8 after structural relaxation.

Lattice parameters (Å, degrees): 6.521 6.521 9.618 90.00 90.00 120.00
Each line ends with the local moment (μB).
Sites, in units of the cell vectors:
1 Cs 0.000 0.000 0.000  0.00
2 Ga 0.667 0.333 0.274  0.00
3 Ga 0.333 0.667 0.726  0.00
4 Cu 0.000 0.000 0.500  0.11
5 Cl 0.333 0.667 0.956  0.00
6 Cl 0.327 0.302 0.341  0.00
7 Cl 0.698 0.025 0.341  0.00
8 Cl 0.667 0.333 0.044  0.00
9 Cl 0.302 0.975 0.659  0.00
10 Cl 0.673 0.698 0.659  0.00
11 Cl 0.025 0.327 0.659  0.00
12 Cl 0.975 0.673 0.341  0.00

magnetization = 0.010 μB per atom
SG = P-3
energy relative to the elements, uncorrected = -1.182 eV/atom

No. 7
## LiAcTcO5 (PBE-GGA)

Data for LiAcTcO5 after structural relaxation.

Lattice parameters (Å, degrees): 6.405 6.405 8.714 110.07 110.07 89.32
Each line ends with the local moment (μB).
Sites, in units of the cell vectors:
1 Li 0.305 0.695 0.250  0.00
2 Li 0.695 0.305 0.750  0.00
3 Ac 0.000 0.000 0.500  0.01
4 Ac 0.000 0.000 0.000  0.01
5 Tc 0.613 0.387 0.250  0.65
6 Tc 0.387 0.613 0.750  0.65
7 O 0.100 0.900 0.250  0.00
8 O 0.900 0.100 0.750  0.00
9 O 0.711 0.267 0.074  0.04
10 O 0.289 0.733 0.926  0.04
11 O 0.733 0.289 0.426  0.04
12 O 0.267 0.711 0.574  0.04
13 O 0.655 0.689 0.328  0.07
14 O 0.345 0.311 0.672  0.07
15 O 0.311 0.345 0.172  0.07
16 O 0.689 0.655 0.828  0.07

magnetization = 0.125 μB per atom
SG = C2/c
energy relative to the elements, uncorrected = -2.072 eV/atom

No. 8
## LiZrRu (PBE-GGA)

Data for LiZrRu after structural relaxation.

Lattice parameters (Å, degrees): 3.374 4.614 12.850 90.00 90.00 90.00
Sites, in units of the cell vectors:
1 Li 0.500 0.000 0.346
2 Li 0.500 0.500 0.846
3 Li 0.000 0.000 0.193
4 Li 0.000 0.500 0.693
5 Zr 0.500 0.000 0.993
6 Zr 0.500 0.500 0.493
7 Zr 0.500 0.000 0.678
8 Zr 0.500 0.500 0.178
9 Ru 0.000 0.000 0.838
10 Ru 0.000 0.500 0.338
11 Ru 0.000 0.000 0.512
12 Ru 0.000 0.500 0.012

magnetization = 0.000 μB per atom
SG = Amm2
ΔE to the lowest computed polymorph = 78 meV per atom

No. 9
## LiRuBr2 (PBE-GGA)

Data for LiRuBr2 after structural relaxation.

Lattice parameters (Å, degrees): 3.658 3.658 7.109 90.00 90.00 118.65
Each line ends with the local moment (μB).
Sites, in units of the cell vectors:
1 Br 0.000 0.000 0.993  0.00
2 Br 0.000 0.000 0.507  0.00
3 Li 0.500 0.500 0.250  0.00
4 Ru 0.500 0.500 0.750  0.43

magnetization = 0.117 μB per atom
SG = Cmmm
ΔE to the lowest computed polymorph = 167 meV per atom
energy relative to the elements, uncorrected = -0.002 eV/atom

No. 10
## CaGeAu (PBE-GGA)

Data for CaGeAu after structural relaxation.

Lattice parameters (Å, degrees): 3.574 4.588 4.588 120.00 90.00 90.00
Sites, in units of the cell vectors:
1 Ge 0.167 0.333 0.667
2 Au 0.166 0.000 0.000
3 Ca 0.667 0.667 0.333

magnetization = 0.000 μB per atom
SG = P-6m2
raw total energy = -12.00 eV per cell

No. 11
## Pu3Te3Se (PBE-GGA)

Data for Pu3Te3Se after structural relaxation.

Lattice parameters (Å, degrees): 6.056 6.056 6.056 102.50 102.50 102.50
Each line ends with the local moment (μB).
Sites, in units of the cell vectors:
1 Pu 0.500 0.000 0.000  5.33
2 Pu 0.000 0.000 0.500  5.33
3 Pu 0.000 0.500 0.000  5.33
4 Te 0.562 0.562 0.169  -0.18
5 Te 0.562 0.169 0.562  -0.18
6 Te 0.169 0.562 0.562  -0.18
7 Se 0.007 0.007 0.007  -0.13

magnetization = 2.286 μB per atom
SG = R3m
energy relative to the elements, uncorrected = -1.062 eV/atom

No. 12
## LaCdAu4 (PBE-GGA)

Data for LaCdAu4 after structural relaxation.

Lattice parameters (Å, degrees): 4.755 4.755 6.948 90.00 90.00 90.00
Sites, in units of the cell vectors:
1 La 0.000 0.000 0.000
2 Cd 0.500 0.500 0.500
3 Au 0.500 0.000 0.719
4 Au 0.000 0.500 0.719
5 Au 0.500 0.000 0.281
6 Au 0.000 0.500 0.281

magnetization = 0.000 μB per atom
SG = P4/mmm
raw total energy = -20.57 eV per cell